(a)
A plane-wave DFT calculation with PBE was carried out for an optimized crystal structure of Th2Ag2Hg3.

a = 3.9737 Å, b = 8.6143 Å, c = 10.4392 Å
α = 90.00°, β = 100.97°, γ = 90.00°
With the nearest neighbours (Å) after each atom.
Fractional positions:
Hg 0.7847 0.2500 0.5694  6 Ag 2.79-3.03
Th 0.0561 0.7500 0.1122  9 Hg 3.26-3.48
Th 0.9439 0.2500 0.8878  9 Hg 3.26-3.48
Hg 0.5617 0.0721 0.1234  2 Hg 2.82-3.07, 1 Ag 2.85
Hg 0.2153 0.7500 0.4306  6 Ag 2.79-3.03
Ag 0.6944 0.5281 0.3887  4 Hg 2.79-3.03, 2 Ag 3.06
Th 0.1608 0.2500 0.3215  6 Ag 3.19-3.53, 6 Hg 3.23
Ag 0.3056 0.0281 0.6113  4 Hg 2.79-3.03, 2 Ag 3.06
Hg 0.5617 0.4279 0.1234  2 Hg 2.82-3.07, 1 Ag 2.85
Ag 0.6944 0.9719 0.3887  4 Hg 2.79-3.03, 2 Ag 3.06
Hg 0.4383 0.9279 0.8766  2 Hg 2.82-3.07, 1 Ag 2.85
Hg 0.4383 0.5721 0.8766  2 Hg 2.82-3.07, 1 Ag 2.85
Ag 0.3056 0.4719 0.6113  4 Hg 2.79-3.03, 2 Ag 3.06
Th 0.8392 0.7500 0.6785  6 Ag 3.19-3.53, 6 Hg 3.23

***

(b)
A plane-wave DFT calculation with PBE was carried out for an optimized crystal structure of Th2Ag2Hg3.

a = 4.4309 Å, b = 6.0181 Å, c = 7.0883 Å
α = 93.26°, β = 90.00°, γ = 111.60°
With the nearest neighbours (Å) after each atom.
Fractional positions:
Hg 0.6937 0.3873 0.8541  2 Ag 2.90, 2 Hg 3.23
Th 0.6214 0.2427 0.3170  5 Ag 3.15-3.34, 5 Hg 3.31-3.43
Hg 0.0000 0.0000 0.0000  2 Ag 2.90
Ag 0.9030 0.8060 0.3707  1 Ag 2.75, 3 Hg 2.90
Hg 0.3063 0.6127 0.1459  2 Ag 2.90, 2 Hg 3.23
Th 0.3786 0.7573 0.6830  5 Ag 3.15-3.34, 5 Hg 3.31-3.43
Ag 0.0970 0.1940 0.6293  1 Ag 2.75, 3 Hg 2.90

***

Stability verdict: (a), ahead by 1.7 kJ/mol of atoms

***

(a)
A plane-wave DFT calculation with PBE was carried out for an optimized crystal structure of Th3Ag4Hg4.

a = 3.3737 Å, b = 4.9725 Å, c = 15.7951 Å
α = 80.90°, β = 83.86°, γ = 90.02°
With the nearest neighbours (Å) after each atom.
Fractional positions:
Hg 0.5482 0.5481 0.9039  2 Ag 2.85, 1 Hg 2.98
Ag 0.5931 0.0934 0.8137  3 Hg 2.85-2.90
Th 0.8591 0.3588 0.2816  6 Hg 3.32-3.34, 6 Ag 3.35-3.38, 2 Th 3.37
Th 0.0000 0.0000 0.0000  4 Ag 3.34-3.35, 8 Hg 3.35, 2 Th 3.37
Ag 0.4069 0.9066 0.1863  3 Hg 2.85-2.90
Hg 0.6869 0.1872 0.6266  5 Ag 2.90-2.95
Hg 0.3131 0.8128 0.3734  5 Ag 2.90-2.95
Ag 0.2644 0.2640 0.4709  4 Hg 2.91-2.95, 4 Ag 3.13-3.14
Th 0.1409 0.6412 0.7184  6 Hg 3.32-3.34, 6 Ag 3.35-3.38, 2 Th 3.37
Ag 0.7356 0.7360 0.5292  4 Hg 2.91-2.95, 4 Ag 3.13-3.14
Hg 0.4518 0.4519 0.0961  2 Ag 2.85, 1 Hg 2.98

***

(b)
A plane-wave DFT calculation with PBE was carried out for an optimized crystal structure of Th3Ag4Hg4.

a = 4.4587 Å, b = 7.7679 Å, c = 8.9438 Å
α = 115.74°, β = 104.43°, γ = 90.00°
With the nearest neighbours (Å) after each atom.
Fractional positions:
Th 0.0000 0.5000 0.0000  6 Ag 3.33-3.38
Ag 0.5000 0.1812 0.0000  2 Hg 2.77, 1 Ag 2.82
Th 0.1271 0.1271 0.2542  6 Ag 3.27-3.29, 6 Hg 3.29-3.53
Hg 0.6683 0.4689 0.3367  4 Ag 2.77-2.92
Ag 0.2183 0.7183 0.4366  6 Hg 2.82-2.92
Hg 0.3317 0.5311 0.6633  4 Ag 2.77-2.92
Hg 0.3317 0.1322 0.6633  4 Ag 2.77-2.92
Hg 0.6683 0.8678 0.3367  4 Ag 2.77-2.92
Ag 0.5000 0.8188 0.0000  2 Hg 2.77, 1 Ag 2.82
Th 0.8729 0.8729 0.7458  6 Ag 3.27-3.29, 6 Hg 3.29-3.53
Ag 0.7817 0.2817 0.5634  6 Hg 2.82-2.92

***

Stability verdict: (a), ahead by 9.6 kJ/mol of atoms

***

(a)
A plane-wave DFT calculation with PBE was carried out for an optimized crystal structure of Th2Ag3Hg2.

a = 3.7306 Å, b = 8.7207 Å, c = 10.7126 Å
α = 90.00°, β = 100.03°, γ = 90.00°
With the nearest neighbours (Å) after each atom.
Fractional positions:
Th 0.9360 0.2500 0.8721  9 Ag 3.39-3.56, 4 Hg 3.54, 2 Th 3.73
Ag 0.4482 0.9128 0.8964  2 Ag 2.66-2.84, 1 Hg 2.92
Th 0.0640 0.7500 0.1279  9 Ag 3.39-3.56, 4 Hg 3.54, 2 Th 3.73
Th 0.1506 0.2500 0.3011  6 Ag 3.09-3.14, 4 Hg 3.24
Hg 0.3209 0.4542 0.6419  3 Ag 2.82-2.92
Hg 0.6791 0.9542 0.3581  3 Ag 2.82-2.92
Ag 0.5518 0.4128 0.1036  2 Ag 2.66-2.84, 1 Hg 2.92
Ag 0.7673 0.2500 0.5346  4 Hg 2.82, 2 Th 3.09
Hg 0.3209 0.0458 0.6419  3 Ag 2.82-2.92
Ag 0.5518 0.0872 0.1036  2 Ag 2.66-2.84, 1 Hg 2.92
Ag 0.4482 0.5872 0.8964  2 Ag 2.66-2.84, 1 Hg 2.92
Ag 0.2327 0.7500 0.4654  4 Hg 2.82, 2 Th 3.09
Hg 0.6791 0.5458 0.3581  3 Ag 2.82-2.92
Th 0.8494 0.7500 0.6989  6 Ag 3.09-3.14, 4 Hg 3.24

***

(b)
A plane-wave DFT calculation with PBE was carried out for an optimized crystal structure of Th2Ag3Hg2.

a = 3.3195 Å, b = 4.7687 Å, c = 10.8880 Å
α = 102.65°, β = 90.00°, γ = 90.00°
With the nearest neighbours (Å) after each atom.
Fractional positions:
Th 0.0000 0.8529 0.7057  5 Ag 3.13-3.39, 6 Hg 3.20-3.45, 2 Th 3.32
Ag 0.0000 0.0000 0.0000  2 Th 3.13, 10 Ag 3.22-3.32
Ag 0.5000 0.4351 0.8703  1 Ag 2.76
Hg 0.5000 0.2896 0.5791  2 Hg 2.92, 1 Ag 3.09, 4 Th 3.20
Ag 0.5000 0.5649 0.1297  1 Ag 2.76
Hg 0.5000 0.7104 0.4209  2 Hg 2.92, 1 Ag 3.09, 4 Th 3.20
Th 0.0000 0.1471 0.2943  5 Ag 3.13-3.39, 6 Hg 3.20-3.45, 2 Th 3.32

***

Stability verdict: (a), ahead by 3.2 kJ/mol of atoms

***

(a)
A plane-wave DFT calculation with PBE was carried out for an optimized crystal structure of TiAgHg.

a = 4.0796 Å, b = 4.0796 Å, c = 7.1150 Å
α = 90.00°, β = 90.00°, γ = 90.00°
With the nearest neighbours (Å) after each atom.
Fractional positions:
Ti 0.0000 0.0000 0.5000  4 Ti 2.88, 4 Ag 2.94, 4 Hg 2.96
Ag 0.5000 0.0000 0.7979  5 Hg 2.85-2.88, 4 Ti 2.94
Ti 0.5000 0.5000 0.5000  4 Ti 2.88, 4 Ag 2.94, 4 Hg 2.96
Hg 0.0000 0.5000 0.8021  5 Ag 2.85-2.88, 4 Ti 2.96
Hg 0.5000 0.0000 0.1979  5 Ag 2.85-2.88, 4 Ti 2.96
Ag 0.0000 0.5000 0.2021  5 Hg 2.85-2.88, 4 Ti 2.94

***

(b)
A plane-wave DFT calculation with PBE was carried out for an optimized crystal structure of TiAgHg.

a = 3.0155 Å, b = 3.0155 Å, c = 12.4189 Å
α = 90.00°, β = 90.00°, γ = 90.00°
With the nearest neighbours (Å) after each atom.
Fractional positions:
Hg 0.0000 0.5000 0.2468  4 Hg 3.02, 4 Ti 3.02, 4 Ag 3.03
Ti 0.5000 0.0000 0.0747  8 Ti 2.83-3.02, 4 Hg 3.02
Hg 0.5000 0.0000 0.7532  4 Hg 3.02, 4 Ti 3.02, 4 Ag 3.03
Ag 0.0000 0.5000 0.5802  8 Ag 2.92-3.02, 4 Hg 3.03
Ti 0.0000 0.5000 0.9253  8 Ti 2.83-3.02, 4 Hg 3.02
Ag 0.5000 0.0000 0.4198  8 Ag 2.92-3.02, 4 Hg 3.03

***

(c)
A plane-wave DFT calculation with PBE was carried out for an optimized crystal structure of TiAgHg.

a = 3.0217 Å, b = 3.0217 Å, c = 7.2242 Å
α = 90.00°, β = 90.00°, γ = 120.00°
With the nearest neighbours (Å) after each atom.
Fractional positions:
Ti 0.6667 0.3333 0.3286  3 Ag 2.89, 3 Hg 2.97, 6 Ti 3.02
Ag 0.0000 0.0000 0.0099  3 Ti 2.89, 6 Ag 3.02, 3 Hg 3.06
Hg 0.3333 0.6667 0.6615  3 Ti 2.97, 6 Hg 3.02, 3 Ag 3.06

***

Stability verdict: (b), ahead by 14.1 kJ/mol of atoms

***

(a)
A plane-wave DFT calculation with PBE was carried out for an optimized crystal structure of TiAg2Hg2.

a = 7.8528 Å, b = 7.8528 Å, c = 3.3375 Å
α = 90.00°, β = 90.00°, γ = 90.00°
With the nearest neighbours (Å) after each atom.
Fractional positions:
Ag 0.8351 0.3351 0.5000  6 Hg 2.76-2.91
Ag 0.3351 0.1649 0.5000  6 Hg 2.76-2.91
Hg 0.1370 0.3630 0.0000  6 Ag 2.76-2.91, 1 Hg 3.04, 2 Ti 3.05
Hg 0.6370 0.1370 0.0000  6 Ag 2.76-2.91, 1 Hg 3.04, 2 Ti 3.05
Ti 0.0000 0.0000 0.0000  4 Hg 3.05, 2 Ti 3.34, 8 Ag 3.37
Ti 0.5000 0.5000 0.0000  4 Hg 3.05, 2 Ti 3.34, 8 Ag 3.37
Hg 0.8630 0.6370 0.0000  6 Ag 2.76-2.91, 1 Hg 3.04, 2 Ti 3.05
Ag 0.6649 0.8351 0.5000  6 Hg 2.76-2.91
Hg 0.3630 0.8630 0.0000  6 Ag 2.76-2.91, 1 Hg 3.04, 2 Ti 3.05
Ag 0.1649 0.6649 0.5000  6 Hg 2.76-2.91

***

(b)
A plane-wave DFT calculation with PBE was carried out for an optimized crystal structure of TiAg2Hg2.

a = 7.8418 Å, b = 7.8418 Å, c = 3.3087 Å
α = 90.00°, β = 90.00°, γ = 90.00°
With the nearest neighbours (Å) after each atom.
Fractional positions:
Ag 0.1271 0.3729 0.0000  6 Hg 2.76-2.91, 1 Ag 2.82
Ti 0.5000 0.5000 0.0000  4 Ag 3.09, 2 Ti 3.31, 8 Hg 3.34
Ag 0.3729 0.8729 0.0000  6 Hg 2.76-2.91, 1 Ag 2.82
Ti 0.0000 0.0000 0.0000  4 Ag 3.09, 2 Ti 3.31, 8 Hg 3.34
Hg 0.1739 0.6739 0.5000  6 Ag 2.76-2.91
Hg 0.6739 0.8261 0.5000  6 Ag 2.76-2.91
Ag 0.6271 0.1271 0.0000  6 Hg 2.76-2.91, 1 Ag 2.82
Ag 0.8729 0.6271 0.0000  6 Hg 2.76-2.91, 1 Ag 2.82
Hg 0.8261 0.3261 0.5000  6 Ag 2.76-2.91
Hg 0.3261 0.1739 0.5000  6 Ag 2.76-2.91

***

Stability verdict: (b), ahead by 0.6 kJ/mol of atoms

***

(a)
A plane-wave DFT calculation with PBE was carried out for an optimized crystal structure of TlAgHg.

a = 5.4010 Å, b = 5.4010 Å, c = 5.4010 Å
α = 138.42°, β = 135.22°, γ = 62.76°
With the nearest neighbours (Å) after each atom.
Fractional positions:
Tl 0.6647 0.6647 0.0000  5 Hg 3.03-3.23, 5 Ag 3.08-3.20
Hg 0.3364 0.3364 0.0000  5 Tl 3.03-3.23, 5 Ag 3.11-3.19
Ag 0.9988 0.9988 0.0000  5 Tl 3.08-3.20, 5 Hg 3.11-3.19

***

(b)
A plane-wave DFT calculation with PBE was carried out for an optimized crystal structure of TlAgHg.

a = 4.7989 Å, b = 4.7984 Å, c = 7.7920 Å
α = 89.94°, β = 89.95°, γ = 59.94°
With the nearest neighbours (Å) after each atom.
Fractional positions:
Hg 0.0000 0.5000 0.1942  3 Ag 2.98-2.99, 1 Hg 3.03, 3 Tl 3.11
Tl 0.6667 0.1667 0.3771  3 Hg 3.11, 1 Ag 3.34, 3 Tl 3.37
Ag 0.6666 0.1666 0.9486  3 Ag 2.88, 3 Hg 2.98-2.99
Tl 0.3333 0.8333 0.6229  3 Hg 3.11, 1 Ag 3.34, 3 Tl 3.37
Hg 0.0000 0.5000 0.8058  3 Ag 2.98-2.99, 1 Hg 3.03, 3 Tl 3.11
Ag 0.3334 0.8334 0.0514  3 Ag 2.88, 3 Hg 2.98-2.99

***

Stability verdict: (b), ahead by 2.6 kJ/mol of atoms